(1)
# SrGa3Tc

A relaxed SrGa3Tc crystal (PBE-GGA, the Alexandria database).

Cell lengths 5.5030, 5.5030, 9.2976 Å; angles 72.79, 72.79, 90.00 degrees
Atoms (fractional coordinates):
1 Tc 0.0000 0.0000 0.0000
2 Tc 0.2500 0.7500 0.5000
3 Ga 0.7367 0.7367 0.5267
4 Ga 0.6170 0.8808 0.2383
5 Ga 0.1447 0.8808 0.2383
6 Ga 0.1192 0.3830 0.7617
7 Ga 0.1192 0.8553 0.7617
8 Ga 0.2633 0.2633 0.4733
9 Sr 0.5698 0.0698 0.8603
10 Sr 0.9302 0.4302 0.1397

Output
DOS at the Fermi energy ... 0.548 states/eV per atom
E_tot ... -4.26 eV/atom
Total magnetic moment ... 0.0 μB per cell
Calculated formation energy ... -0.84 kcal/mol of atoms
Calculated density ... 5.1 g cm⁻³
Relative energy among the computed polymorphs ... 325 meV/atom

---

(2)
# SrGa3Tc

A relaxed SrGa3Tc crystal (PBE-GGA, the Alexandria database).

Cell lengths 7.0607, 6.4166, 6.4697 Å; angles 60.27, 63.29, 62.98 degrees
Atoms (fractional coordinates):
1 Sr 0.6621 0.3828 0.5212
2 Sr 0.3121 0.1812 0.2744
3 Ga 0.7414 0.3912 0.9772
4 Ga 0.1970 0.6777 0.3961
5 Ga 0.1945 0.7105 0.7810
6 Ga 0.1946 0.2630 0.7810
7 Ga 0.7413 0.8393 0.9773
8 Ga 0.7348 0.8474 0.5194
9 Tc 0.9716 0.9480 0.0814
10 Tc 0.4326 0.7955 0.9254

Output
DOS at the Fermi energy ... 0.518 states/eV per atom
E_tot ... -4.54 eV/atom
Total magnetic moment ... 0.0 μB per cell
Calculated formation energy ... -7.14 kcal/mol of atoms
Calculated density ... 6.0 g cm⁻³
Relative energy among the computed polymorphs ... 52 meV/atom

---

(3)
# SrGa3Tc

A relaxed SrGa3Tc crystal (PBE-GGA, the Alexandria database).

Cell lengths 11.4900, 9.4373, 9.4373 Å; angles 92.40, 130.51, 49.49 degrees
Atoms (fractional coordinates):
1 Ga 0.1879 0.1301 0.1463
2 Ga 0.0850 0.7292 0.6827
3 Ga 0.4150 0.1827 0.2292
4 Ga 0.6879 0.3537 0.3699
5 Ga 0.3121 0.6463 0.6301
6 Ga 0.9150 0.2708 0.3173
7 Ga 0.2315 0.8295 0.1088
8 Ga 0.7685 0.1705 0.8912
9 Ga 0.2685 0.6088 0.3295
10 Ga 0.5850 0.8173 0.7708
11 Ga 0.7315 0.3912 0.6705
12 Ga 0.8121 0.8699 0.8537
13 Tc 0.2500 0.5465 0.0465
14 Tc 0.7500 0.4535 0.9535
15 Tc 0.7500 0.1016 0.6016
16 Tc 0.2500 0.8984 0.3984
17 Sr 0.1655 0.3897 0.3782
18 Sr 0.6655 0.1218 0.1103
19 Sr 0.3345 0.8782 0.8897
20 Sr 0.8345 0.6103 0.6218

Output
DOS at the Fermi energy ... 0.348 states/eV per atom
E_tot ... -4.43 eV/atom
Total magnetic moment ... 0.0 μB per cell
Calculated formation energy ... -4.78 kcal/mol of atoms
Calculated density ... 5.9 g cm⁻³
Relative energy among the computed polymorphs ... 154 meV/atom

---

(4)
# SrGa3Tc

A relaxed SrGa3Tc crystal (PBE-GGA, the Alexandria database).

Cell lengths 19.3478, 9.7615, 9.7615 Å; angles 154.54, 160.12, 19.88 degrees
Atoms (fractional coordinates):
1 Ga 0.3623 0.4520 0.5480
2 Ga 0.2779 0.8074 0.1926
3 Ga 0.6377 0.5480 0.4520
4 Ga 0.6928 0.6339 0.3661
5 Ga 0.3072 0.3661 0.6339
6 Ga 0.7221 0.1926 0.8074
7 Tc 0.8812 0.8798 0.1202
8 Tc 0.1188 0.1202 0.8798
9 Sr 0.2080 0.2195 0.7805
10 Sr 0.7920 0.7805 0.2195

Output
DOS at the Fermi energy ... 0.176 states/eV per atom
E_tot ... -4.43 eV/atom
Total magnetic moment ... 0.0 μB per cell
Calculated formation energy ... -4.60 kcal/mol of atoms
Calculated density ... 6.2 g cm⁻³
Relative energy among the computed polymorphs ... 162 meV/atom

---

(5)
# SrGa3Tc

A relaxed SrGa3Tc crystal (PBE-GGA, the Alexandria database).

Cell lengths 6.0258, 6.8649, 6.8374 Å; angles 60.13, 90.00, 116.03 degrees
Atoms (fractional coordinates):
1 Ga 0.2094 0.6535 0.4484
2 Ga 0.7104 0.1538 0.1366
3 Ga 0.2100 0.1532 0.6371
4 Ga 0.7102 0.1537 0.6371
5 Ga 0.2094 0.6535 0.8257
6 Ga 0.2100 0.1532 0.1375
7 Sr 0.7101 0.6534 0.1371
8 Sr 0.7090 0.6535 0.6370
9 Tc 0.3565 0.9462 0.9907
10 Tc 0.0637 0.3608 0.2834

Output
DOS at the Fermi energy ... 0.247 states/eV per atom
E_tot ... -4.51 eV/atom
Total magnetic moment ... 0.0 μB per cell
Calculated formation energy ... -6.53 kcal/mol of atoms
Calculated density ... 6.2 g cm⁻³
Relative energy among the computed polymorphs ... 78 meV/atom

---

(6)
# SrGa3Tc

A relaxed SrGa3Tc crystal (PBE-GGA, the Alexandria database).

Cell lengths 9.5123, 9.5123, 9.5123 Å; angles 60.00, 60.00, 60.00 degrees
Atoms (fractional coordinates):
1 Tc 0.6250 0.6250 0.1250
2 Tc 0.1250 0.6250 0.6250
3 Tc 0.6250 0.1250 0.6250
4 Tc 0.6250 0.6250 0.6250
5 Sr 0.6250 0.1250 0.1250
6 Sr 0.1250 0.1250 0.1250
7 Sr 0.1250 0.6250 0.1250
8 Sr 0.1250 0.1250 0.6250
9 Ga 0.3392 0.6608 0.6608
10 Ga 0.6608 0.3392 0.3392
11 Ga 0.5892 0.9108 0.5892
12 Ga 0.9108 0.9108 0.5892
13 Ga 0.3392 0.6608 0.3392
14 Ga 0.9108 0.5892 0.9108
15 Ga 0.6608 0.3392 0.6608
16 Ga 0.9108 0.5892 0.5892
17 Ga 0.3392 0.3392 0.6608
18 Ga 0.5892 0.9108 0.9108
19 Ga 0.5892 0.5892 0.9108
20 Ga 0.6608 0.6608 0.3392

Output
DOS at the Fermi energy ... 0.928 states/eV per atom
E_tot ... -4.18 eV/atom
Total magnetic moment ... 0.0 μB per cell
Calculated formation energy ... 1.00 kcal/mol of atoms
Calculated density ... 4.3 g cm⁻³
Relative energy among the computed polymorphs ... 405 meV/atom

---

(7)
# SrGa2Tc

A relaxed SrGa2Tc crystal (PBE-GGA, the Alexandria database).

Cell lengths 4.8196, 4.8196, 4.8196 Å; angles 60.00, 60.00, 60.00 degrees
Each line ends with the local moment (μB).
Atoms (fractional coordinates):
1 Sr 0.0000 0.0000 0.0000  0.00
2 Ga 0.2500 0.2500 0.2500  0.01
3 Ga 0.7500 0.7500 0.7500  0.01
4 Tc 0.5000 0.5000 0.5000  0.77

Output
DOS at the Fermi energy ... 1.305 states/eV per atom
E_tot ... -4.30 eV/atom
Total magnetic moment ... 0.9 μB per cell
Calculated formation energy ... 5.10 kcal/mol of atoms
Calculated density ... 6.8 g cm⁻³
Relative energy among the computed polymorphs ... 69 meV/atom

---

(8)
# SrGa3Tc

A relaxed SrGa3Tc crystal (PBE-GGA, the Alexandria database).

Cell lengths 24.9801, 6.5787, 9.0806 Å; angles 90.00, 163.84, 90.00 degrees
Atoms (fractional coordinates):
1 Sr 0.0376 0.2363 0.5372
2 Sr 0.4624 0.7363 0.9628
3 Sr 0.9624 0.7637 0.4628
4 Sr 0.5376 0.2637 0.0372
5 Ga 0.8274 0.9307 0.7230
6 Ga 0.1726 0.0693 0.2770
7 Ga 0.7259 0.5208 0.2258
8 Ga 0.0680 0.4306 0.9634
9 Ga 0.4320 0.9306 0.5366
10 Ga 0.5680 0.0694 0.4634
11 Ga 0.7741 0.0208 0.2742
12 Ga 0.2259 0.9792 0.7258
13 Ga 0.2741 0.4792 0.7742
14 Ga 0.9320 0.5694 0.0366
15 Ga 0.6726 0.4307 0.7770
16 Ga 0.3273 0.5693 0.2230
17 Tc 0.9733 0.2500 0.9733
18 Tc 0.5267 0.7500 0.5267
19 Tc 0.0267 0.7500 0.0267
20 Tc 0.4733 0.2500 0.4733

Output
DOS at the Fermi energy ... 0.584 states/eV per atom
E_tot ... -4.44 eV/atom
Total magnetic moment ... 0.0 μB per cell
Calculated formation energy ... -4.98 kcal/mol of atoms
Calculated density ... 6.3 g cm⁻³
Relative energy among the computed polymorphs ... 145 meV/atom

---

(9)
# SrGa3Tc

A relaxed SrGa3Tc crystal (PBE-GGA, the Alexandria database).

Cell lengths 4.9179, 7.8963, 9.2060 Å; angles 122.32, 100.07, 54.23 degrees
Atoms (fractional coordinates):
1 Ga 0.6452 0.1625 0.2326
2 Ga 0.4859 0.2612 0.7543
3 Ga 0.1360 0.6539 0.2334
4 Ga 0.3396 0.0517 0.4287
5 Ga 0.8820 0.2470 0.0403
6 Ga 0.1557 0.0665 0.7153
7 Tc 0.8252 0.0856 0.4694
8 Tc 0.3788 0.2279 0.9953
9 Sr 0.9728 0.6244 0.5535
10 Sr 0.5454 0.7181 0.9828

Output
DOS at the Fermi energy ... 0.329 states/eV per atom
E_tot ... -4.50 eV/atom
Total magnetic moment ... 0.0 μB per cell
Calculated formation energy ... -6.22 kcal/mol of atoms
Calculated density ... 5.5 g cm⁻³
Relative energy among the computed polymorphs ... 92 meV/atom

---

(10)
# SrGa3Tc

A relaxed SrGa3Tc crystal (PBE-GGA, the Alexandria database).

Cell lengths 6.0790, 12.3069, 5.4144 Å; angles 90.00, 90.00, 90.00 degrees
Atoms (fractional coordinates):
1 Ga 0.6554 0.7500 0.1343
2 Ga 0.9984 0.3752 0.0168
3 Ga 0.9984 0.1248 0.0168
4 Ga 0.4984 0.3752 0.4832
5 Ga 0.5016 0.8752 0.5168
6 Ga 0.0016 0.6248 0.9832
7 Ga 0.1554 0.7500 0.3657
8 Ga 0.5016 0.6248 0.5168
9 Ga 0.4984 0.1248 0.4832
10 Ga 0.3446 0.2500 0.8657
11 Ga 0.0016 0.8752 0.9832
12 Ga 0.8446 0.2500 0.6343
13 Tc 0.6903 0.2500 0.1643
14 Tc 0.8097 0.7500 0.6643
15 Tc 0.3097 0.7500 0.8357
16 Tc 0.1903 0.2500 0.3357
17 Sr 0.0000 0.0000 0.5000
18 Sr 0.5000 0.0000 0.0000
19 Sr 0.5000 0.5000 0.0000
20 Sr 0.0000 0.5000 0.5000

Output
DOS at the Fermi energy ... 0.000 states/eV per atom
E_tot ... -4.45 eV/atom
Total magnetic moment ... 0.0 μB per cell
Calculated formation energy ... -5.09 kcal/mol of atoms
Calculated density ... 6.5 g cm⁻³
Relative energy among the computed polymorphs ... 141 meV/atom